{
  "formula": "Ta2AgMoIr",
  "functional": "PBE",
  "state": "relaxed",
  "rho_g_cm3": 11.46,
  "magnetic_moment_mub_per_atom": 0.00,
  "formation_enthalpy_0k_ev_per_fu": 7.2,
  "lattice": [[-4.424, 1.051, -1.551], [-1.346, -4.550, 0.755], [-1.290, 1.119, 4.439]],
  "species": ["Ag", "Ta", "Ta", "Mo", "Ir"],
  "frac_coords": [[0.500, 0.500, 0.500], [0.000, 0.500, 0.000], [0.500, 0.000, 0.000], [0.000, 0.000, 0.000], [0.000, 0.000, 0.500]]
}